#one
Below is a relaxed V2As2Ru crystal, with properties calculated at the PBE level.

Lattice parameters (Å, degrees): 6.750 6.750 3.197 90.00 90.00 90.00
Element x y z (fractional)
As 0.842 0.658 0.000
As 0.658 0.158 0.000
As 0.158 0.342 0.000
As 0.342 0.842 0.000
V 0.363 0.137 0.500
V 0.137 0.637 0.500
V 0.863 0.363 0.500
V 0.637 0.863 0.500
Ru 0.000 0.000 0.000
Ru 0.500 0.500 0.000

Values from the calculation:
- V: 14.6 Å³/atom
- Space-group type: P4/mbm
- Magnetic moment: 0.00 μB per atom

#two
Below is a relaxed V2As2Ru crystal, with properties calculated at the PBE level.

Lattice parameters (Å, degrees): 6.815 6.815 3.190 90.00 90.00 90.00
Element x y z (fractional)
As 0.162 0.662 0.500
As 0.838 0.338 0.500
As 0.662 0.838 0.500
As 0.338 0.162 0.500
Ru 0.500 0.500 0.000
Ru 0.000 0.000 0.000
V 0.363 0.863 0.000
V 0.637 0.137 0.000
V 0.137 0.363 0.000
V 0.863 0.637 0.000

Values from the calculation:
- V: 14.8 Å³/atom
- Space-group type: P4/mbm
- Magnetic moment: 0.00 μB per atom

The structure with the most favorable energy is #one; the runner-up is 0.207 eV/atom above it.

#one
Below is a relaxed AsRuW crystal, with properties calculated at the PBE level.

Lattice parameters (Å, degrees): 2.867 2.867 6.483 90.00 90.00 120.00
Element x y z (fractional)
As 0.000 0.000 0.007
Ru 0.667 0.333 0.335
W 0.333 0.667 0.658

Values from the calculation:
- V: 15.4 Å³/atom
- Space-group type: P3m1
- Magnetic moment: 0.00 μB per atom

#two
Below is a relaxed AsRuW crystal, with properties calculated at the PBE level.

Lattice parameters (Å, degrees): 3.043 3.042 11.554 90.00 90.00 120.00
Element x y z (fractional)
Ru 0.611 0.222 0.317
Ru 0.611 0.222 0.683
As 0.278 0.556 0.836
As 0.278 0.556 0.164
W 0.611 0.223 0.000
W 0.278 0.555 0.500

Values from the calculation:
- V: 15.4 Å³/atom
- Space-group type: P-6m2
- Magnetic moment: 0.00 μB per atom

#three
Below is a relaxed AsRuW crystal, with properties calculated at the PBE level.

Lattice parameters (Å, degrees): 4.268 4.268 2.848 90.00 90.00 120.00
Element x y z (fractional)
W 0.333 0.667 0.666
As 0.000 0.000 0.168
Ru 0.667 0.333 0.166

Values from the calculation:
- V: 15.0 Å³/atom
- Space-group type: P-6m2
- Magnetic moment: 0.00 μB per atom

#four
Below is a relaxed AsRuW crystal, with properties calculated at the PBE level.

Lattice parameters (Å, degrees): 4.223 4.223 4.223 60.00 60.00 60.00
Element x y z (fractional)
As 0.000 0.000 0.000
W 0.750 0.750 0.750
Ru 0.500 0.500 0.500

Values from the calculation:
- V: 17.7 Å³/atom
- Space-group type: F-43m
- Magnetic moment: 0.00 μB per atom

The structure with the most favorable energy is #three; the runner-up is 0.042 eV/atom above it.

#one
Below is a relaxed AsRuW crystal, with properties calculated at the PBE level.

Lattice parameters (Å, degrees): 5.467 5.467 5.467 148.38 148.38 45.33
Element x y z (fractional)
Ru 0.339 0.339 0.000
W 0.663 0.663 0.000
As 0.998 0.998 0.000

Values from the calculation:
- V: 14.9 Å³/atom
- Space-group type: I4mm
- Magnetic moment: 0.00 μB per atom

#two
Below is a relaxed AsRuW crystal, with properties calculated at the PBE level.

Lattice parameters (Å, degrees): 4.608 4.608 4.608 143.29 127.56 65.72
Element x y z (fractional)
W 0.672 0.672 0.000
As 0.001 0.001 0.000
Ru 0.327 0.327 0.000

Values from the calculation:
- V: 15.2 Å³/atom
- Space-group type: Imm2
- Magnetic moment: 0.00 μB per atom

#three
Below is a relaxed AsRuW crystal, with properties calculated at the PBE level.

Lattice parameters (Å, degrees): 4.183 4.183 4.183 60.00 60.00 60.00
Element x y z (fractional)
As 0.500 0.500 0.500
W 0.000 0.000 0.000
Ru 0.750 0.750 0.750

Values from the calculation:
- V: 17.3 Å³/atom
- Space-group type: F-43m
- Magnetic moment: 0.00 μB per atom

The structure with the most favorable energy is #one; the runner-up is 0.057 eV/atom above it.

#one
Below is a relaxed AsRuW3 crystal, with properties calculated at the PBE level.

Lattice parameters (Å, degrees): 4.714 4.714 4.714 90.00 90.00 90.00
Element x y z (fractional)
W 0.000 0.000 0.500
W 0.000 0.500 0.000
W 0.500 0.000 0.000
As 0.500 0.500 0.500
Ru 0.000 0.000 0.000

Values from the calculation:
- V: 20.9 Å³/atom
- Space-group type: Pm-3m
- Magnetic moment: 0.00 μB per atom

#two
Below is a relaxed AsRuW3 crystal, with properties calculated at the PBE level.

Lattice parameters (Å, degrees): 4.536 4.536 4.536 90.00 90.00 90.00
Element x y z (fractional)
W 0.000 0.000 0.500
W 0.000 0.500 0.000
W 0.500 0.000 0.000
Ru 0.500 0.500 0.500
As 0.000 0.000 0.000

Values from the calculation:
- V: 18.7 Å³/atom
- Space-group type: Pm-3m
- Magnetic moment: 0.00 μB per atom

The structure with the most favorable energy is #two; the runner-up is 0.219 eV/atom above it.

#one
Below is a relaxed Zr2AsRu2 crystal, with properties calculated at the PBE level.

Lattice parameters (Å, degrees): 7.657 7.657 3.198 90.00 90.00 90.00
Element x y z (fractional)
Ru 0.635 0.865 0.500
Ru 0.865 0.365 0.500
Ru 0.135 0.635 0.500
Ru 0.365 0.135 0.500
As 0.500 0.500 0.000
As 0.000 0.000 0.000
Zr 0.159 0.341 0.000
Zr 0.841 0.659 0.000
Zr 0.341 0.841 0.000
Zr 0.659 0.159 0.000

Values from the calculation:
- V: 18.8 Å³/atom
- Space-group type: P4/mbm
- Magnetic moment: 0.00 μB per atom

#two
Below is a relaxed Zr2AsRu2 crystal, with properties calculated at the PBE level.

Lattice parameters (Å, degrees): 7.452 7.452 3.269 90.00 90.00 90.00
Element x y z (fractional)
Ru 0.635 0.135 0.000
Ru 0.135 0.365 0.000
Ru 0.365 0.865 0.000
Ru 0.865 0.635 0.000
Zr 0.335 0.165 0.500
Zr 0.835 0.335 0.500
Zr 0.165 0.665 0.500
Zr 0.665 0.835 0.500
As 0.000 0.000 0.000
As 0.500 0.500 0.000

Values from the calculation:
- V: 18.2 Å³/atom
- Space-group type: P4/mbm
- Magnetic moment: 0.00 μB per atom

The structure with the most favorable energy is #two; the runner-up is 0.218 eV/atom above it.

#one
Below is a relaxed Zr3AsRu crystal, with properties calculated at the PBE level.

Lattice parameters (Å, degrees): 4.982 4.982 4.982 90.00 90.00 90.00
Element x y z (fractional)
Zr 0.000 0.000 0.500
Zr 0.000 0.500 0.000
Zr 0.500 0.000 0.000
As 0.500 0.500 0.500
Ru 0.000 0.000 0.000

Values from the calculation:
- V: 24.7 Å³/atom
- Space-group type: Pm-3m
- Magnetic moment: 0.00 μB per atom

#two
Below is a relaxed Zr3AsRu crystal, with properties calculated at the PBE level.

Lattice parameters (Å, degrees): 4.920 4.920 4.920 90.00 90.00 90.00
Element x y z (fractional)
Zr 0.500 0.000 0.000
Zr 0.000 0.000 0.500
Zr 0.000 0.500 0.000
As 0.000 0.000 0.000
Ru 0.500 0.500 0.500

Values from the calculation:
- V: 23.8 Å³/atom
- Space-group type: Pm-3m
- Magnetic moment: 0.18 μB per atom

The structure with the most favorable energy is #one; the runner-up is 0.210 eV/atom above it.

#one
Below is a relaxed AsS crystal, with properties calculated at the PBE level.

Lattice parameters (Å, degrees): 14.835 7.131 10.452 64.85 90.00 90.00
Element x y z (fractional)
S 0.014 0.897 0.213
S 0.279 0.569 0.249
S 0.494 0.617 0.150
S 0.986 0.103 0.787
S 0.202 0.054 0.887
S 0.506 0.383 0.850
S 0.298 0.054 0.387
S 0.221 0.569 0.749
S 0.702 0.946 0.613
S 0.779 0.431 0.251
S 0.514 0.103 0.287
S 0.006 0.617 0.650
S 0.721 0.431 0.751
S 0.994 0.383 0.350
S 0.486 0.897 0.713
S 0.798 0.946 0.113
As 0.838 0.686 0.056
As 0.509 0.352 0.367
As 0.139 0.540 0.576
As 0.376 0.135 0.185
As 0.861 0.460 0.424
As 0.991 0.352 0.867
As 0.338 0.314 0.444
As 0.162 0.314 0.944
As 0.361 0.540 0.076
As 0.639 0.460 0.924
As 0.624 0.865 0.815
As 0.124 0.135 0.685
As 0.876 0.865 0.315
As 0.009 0.648 0.133
As 0.491 0.648 0.633
As 0.662 0.686 0.556

Values from the calculation:
- V: 31.3 Å³/atom
- Space-group type: P2_1/c
- Magnetic moment: 0.00 μB per atom

#two
Below is a relaxed AsS crystal, with properties calculated at the PBE level.

Lattice parameters (Å, degrees): 8.365 8.365 5.091 90.00 90.00 90.00
Element x y z (fractional)
S 0.192 0.589 0.000
S 0.089 0.308 0.500
S 0.911 0.692 0.500
S 0.808 0.411 0.000
S 0.308 0.911 0.500
S 0.411 0.192 0.000
S 0.692 0.089 0.500
S 0.589 0.808 0.000
As 0.728 0.046 0.000
As 0.454 0.228 0.500
As 0.546 0.772 0.500
As 0.272 0.954 0.000
As 0.228 0.546 0.500
As 0.954 0.728 0.000
As 0.046 0.272 0.000
As 0.772 0.454 0.500

Values from the calculation:
- V: 22.3 Å³/atom
- Space-group type: I4/m
- Magnetic moment: 0.00 μB per atom

#three
Below is a relaxed AsS crystal, with properties calculated at the PBE level.

Lattice parameters (Å, degrees): 4.627 4.627 8.194 89.30 98.75 138.79
Element x y z (fractional)
As 0.823 0.834 0.657
As 0.177 0.166 0.343
S 0.539 0.244 0.783
S 0.461 0.756 0.217

Values from the calculation:
- V: 28.2 Å³/atom
- Space-group type: C2/m
- Magnetic moment: 0.00 μB per atom

The structure with the most favorable energy is #one; the runner-up is 0.246 eV/atom above it.

#one
Below is a relaxed AsS crystal, with properties calculated at the PBE level.

Lattice parameters (Å, degrees): 7.202 19.150 8.160 90.00 90.00 90.00
Element x y z (fractional)
S 0.531 0.250 0.750
S 0.781 0.000 0.500
S 0.969 0.750 0.250
S 0.219 0.500 0.000
S 0.969 0.250 0.750
S 0.781 0.500 0.000
S 0.219 0.000 0.500
S 0.281 0.000 0.000
S 0.469 0.750 0.750
S 0.281 0.500 0.500
S 0.469 0.250 0.250
S 0.719 0.000 0.000
S 0.031 0.750 0.750
S 0.719 0.500 0.500
S 0.031 0.250 0.250
S 0.531 0.750 0.250
As 0.000 0.916 0.500
As 0.500 0.416 0.500
As 0.250 0.166 0.250
As 0.250 0.834 0.750
As 0.750 0.334 0.750
As 0.500 0.584 0.500
As 0.000 0.584 0.000
As 0.250 0.334 0.250
As 0.750 0.166 0.750
As 0.000 0.416 0.000
As 0.250 0.666 0.750
As 0.500 0.916 0.000
As 0.000 0.084 0.500
As 0.500 0.084 0.000
As 0.750 0.666 0.250
As 0.750 0.834 0.250

Values from the calculation:
- V: 35.2 Å³/atom
- Space-group type: Fddd
- Magnetic moment: 0.00 μB per atom

#two
Below is a relaxed AsS crystal, with properties calculated at the PBE level.

Lattice parameters (Å, degrees): 7.209 7.209 10.268 80.30 80.30 78.08
Element x y z (fractional)
S 0.060 0.940 0.250
S 0.940 0.060 0.750
S 0.515 0.154 0.642
S 0.154 0.515 0.142
S 0.485 0.846 0.358
S 0.422 0.578 0.750
S 0.846 0.485 0.858
S 0.578 0.422 0.250
As 0.575 0.731 0.161
As 0.731 0.575 0.661
As 0.269 0.425 0.339
As 0.425 0.269 0.839
As 0.805 0.237 0.576
As 0.237 0.805 0.076
As 0.195 0.763 0.424
As 0.763 0.195 0.924

Values from the calculation:
- V: 31.9 Å³/atom
- Space-group type: C2/c
- Magnetic moment: 0.00 μB per atom

The structure with the most favorable energy is #two; the runner-up is 0.268 eV/atom above it.